DFT (PBE) results for Zr3Ag2Hg3 after structural relaxation.

abc: 7.9128 7.9128 3.1440
angles: 90.00 90.00 120.00
Last column: nearest neighbours and their distance in Å.
Positions (direct):
Zr 0.0000 0.6058 0.0000  4 Ag 2.90, 2 Zr 3.14, 4 Hg 3.15
Zr 0.3942 0.3942 0.0000  4 Ag 2.90, 2 Zr 3.14, 4 Hg 3.15
Zr 0.6058 0.0000 0.0000  4 Ag 2.90, 2 Zr 3.14, 4 Hg 3.15
Ag 0.3333 0.6667 0.5000  6 Zr 2.90, 3 Hg 3.06, 2 Ag 3.14
Ag 0.6667 0.3333 0.5000  6 Zr 2.90, 3 Hg 3.06, 2 Ag 3.14
Hg 0.0000 0.2424 0.5000  2 Ag 3.06, 4 Hg 3.14-3.32, 6 Zr 3.15-3.28
Hg 0.2424 0.0000 0.5000  2 Ag 3.06, 4 Hg 3.14-3.32, 6 Zr 3.15-3.28
Hg 0.7576 0.7576 0.5000  2 Ag 3.06, 4 Hg 3.14-3.32, 6 Zr 3.15-3.28

## Properties
spin magnetization = 0.00 μB per formula unit
SG = No. 189
distance to the lowest polymorph of the same formula = 20 meV/atom
ρ = 10.629 g/cm3